[1]
Density functional theory data (GGA-PBE) for Pu3Ni3Sb4 after structural relaxation.

Lattice parameters (Å, degrees): 8.208 8.208 8.208 109.47 109.47 109.47
Atoms (fractional coordinates):
Pu: 0.625 0.750 0.875
Pu: 0.875 0.250 0.625
Pu: 0.125 0.375 0.250
Pu: 0.375 0.125 0.750
Pu: 0.250 0.875 0.125
Pu: 0.750 0.625 0.375
Ni: 0.125 0.750 0.375
Ni: 0.375 0.250 0.125
Ni: 0.625 0.875 0.250
Ni: 0.875 0.625 0.750
Ni: 0.250 0.375 0.625
Ni: 0.750 0.125 0.875
Sb: 0.000 0.000 0.342
Sb: 0.500 0.342 0.500
Sb: 0.658 0.158 0.158
Sb: 0.000 0.000 0.842
Sb: 0.842 0.500 0.000
Sb: 0.500 0.842 0.500
Sb: 0.342 0.500 0.000
Sb: 0.158 0.658 0.658

Values from the calculation:
Formation energy without anion corrections   -0.53 eV/atom
SG   I-43d (220)



[2]
Density functional theory data (GGA-PBE) for Pu4Ni3Sb8 after structural relaxation.

Lattice parameters (Å, degrees): 4.361 4.361 18.587 90.00 90.00 90.00
Atoms (fractional coordinates):
Pu: 0.500 0.000 0.378
Pu: 0.500 0.000 0.886
Pu: 0.000 0.500 0.114
Pu: 0.000 0.500 0.622
Ni: 0.500 0.500 0.500
Ni: 0.000 0.000 0.000
Ni: 0.000 0.000 0.500
Sb: 0.500 0.000 0.070
Sb: 0.500 0.000 0.574
Sb: 0.000 0.500 0.426
Sb: 0.000 0.500 0.930
Sb: 0.500 0.500 0.246
Sb: 0.500 0.500 0.754
Sb: 0.000 0.000 0.246
Sb: 0.000 0.000 0.754

Values from the calculation:
Formation energy without anion corrections   -0.50 eV/atom
SG   P-4m2 (115)



[3]
Density functional theory data (GGA-PBE) for PuNiSb2 after structural relaxation.

Lattice parameters (Å, degrees): 4.477 7.570 10.838 90.00 90.00 90.00
Atoms (fractional coordinates):
Pu: 0.750 0.761 0.675
Pu: 0.250 0.739 0.175
Pu: 0.250 0.239 0.325
Pu: 0.750 0.261 0.825
Ni: 0.750 0.879 0.370
Ni: 0.250 0.621 0.870
Ni: 0.250 0.121 0.630
Ni: 0.750 0.379 0.130
Sb: 0.750 0.150 0.524
Sb: 0.250 0.350 0.024
Sb: 0.250 0.850 0.476
Sb: 0.750 0.650 0.976
Sb: 0.750 0.540 0.339
Sb: 0.250 0.960 0.839
Sb: 0.250 0.460 0.661
Sb: 0.750 0.040 0.161

Values from the calculation:
Formation energy without anion corrections   -0.46 eV/atom
SG   Pnma (62)



[4]
Density functional theory data (GGA-PBE) for Pu2Ni5Sb4 after structural relaxation.

Lattice parameters (Å, degrees): 5.714 5.800 8.002 79.87 69.08 60.49
Atoms (fractional coordinates):
Pu: 0.854 0.000 0.293
Pu: 0.146 0.000 0.707
Ni: 0.500 0.000 0.000
Ni: 0.000 0.500 0.000
Ni: 0.500 0.500 0.000
Ni: 0.250 0.500 0.500
Ni: 0.750 0.500 0.500
Sb: 0.472 0.314 0.743
Sb: 0.528 0.686 0.257
Sb: 0.214 0.314 0.257
Sb: 0.786 0.686 0.743

Values from the calculation:
Formation energy without anion corrections   -0.21 eV/atom
SG   Fmmm (69)



[5]
Density functional theory data (GGA-PBE) for Pu2Ni2Sb3 after structural relaxation.

Lattice parameters (Å, degrees): 4.344 6.692 10.803 90.00 101.60 90.00
Atoms (fractional coordinates):
Pu: 0.166 0.250 0.331
Pu: 0.834 0.750 0.669
Pu: 0.990 0.250 0.980
Pu: 0.010 0.750 0.020
Ni: 0.708 0.954 0.416
Ni: 0.292 0.046 0.584
Ni: 0.292 0.454 0.584
Ni: 0.708 0.546 0.416
Sb: 0.216 0.750 0.431
Sb: 0.784 0.250 0.569
Sb: 0.586 0.490 0.172
Sb: 0.414 0.510 0.828
Sb: 0.414 0.990 0.828
Sb: 0.586 0.010 0.172

Values from the calculation:
Formation energy without anion corrections   -0.47 eV/atom
SG   Cmcm (63)



[6]
Density functional theory data (GGA-PBE) for PuNi2Sb2 after structural relaxation.

Lattice parameters (Å, degrees): 4.479 4.479 9.825 90.00 90.00 90.00
Atoms (fractional coordinates):
Pu: 0.500 0.000 0.258
Pu: 0.000 0.500 0.742
Ni: 0.500 0.500 0.500
Ni: 0.000 0.000 0.500
Ni: 0.000 0.500 0.121
Ni: 0.500 0.000 0.879
Sb: 0.000 0.500 0.372
Sb: 0.500 0.000 0.628
Sb: 0.500 0.500 0.000
Sb: 0.000 0.000 0.000

Values from the calculation:
Formation energy without anion corrections   -0.43 eV/atom
SG   P4/nmm (129)



[7]
Density functional theory data (GGA-PBE) for PuNiSb2 after structural relaxation.

Lattice parameters (Å, degrees): 3.380 3.380 10.039 80.31 80.31 60.00
Atoms (fractional coordinates):
Sb: 0.108 0.108 0.677
Sb: 0.892 0.892 0.323
Ni: 0.500 0.500 0.500
Pu: 0.000 0.000 0.000

Values from the calculation:
Formation energy without anion corrections   0.07 eV/atom
SG   R-3m (166)



[8]
Density functional theory data (GGA-PBE) for Pu3NiSb2 after structural relaxation.

Lattice parameters (Å, degrees): 4.268 11.281 12.525 90.00 90.00 90.00
Atoms (fractional coordinates):
Pu: 0.250 0.405 0.052
Pu: 0.750 0.595 0.948
Pu: 0.750 0.905 0.448
Pu: 0.250 0.095 0.552
Pu: 0.250 0.739 0.247
Pu: 0.750 0.261 0.753
Pu: 0.750 0.239 0.253
Pu: 0.250 0.761 0.747
Pu: 0.250 0.458 0.387
Pu: 0.750 0.542 0.613
Pu: 0.750 0.958 0.113
Pu: 0.250 0.042 0.887
Ni: 0.250 0.159 0.118
Ni: 0.750 0.841 0.882
Ni: 0.750 0.659 0.382
Ni: 0.250 0.341 0.618
Sb: 0.250 0.711 0.501
Sb: 0.750 0.289 0.499
Sb: 0.750 0.211 0.999
Sb: 0.250 0.789 0.001
Sb: 0.250 0.026 0.295
Sb: 0.750 0.974 0.705
Sb: 0.750 0.526 0.205
Sb: 0.250 0.474 0.795

Values from the calculation:
Formation energy without anion corrections   -0.43 eV/atom
SG   Pnma (62)



[9]
Density functional theory data (GGA-PBE) for PuNi2Sb2 after structural relaxation.

Lattice parameters (Å, degrees): 6.154 6.154 7.040 101.82 101.82 122.07
Atoms (fractional coordinates):
Pu: 0.875 0.625 0.750
Pu: 0.125 0.375 0.250
Ni: 0.275 0.025 0.551
Ni: 0.525 0.775 0.051
Ni: 0.725 0.975 0.449
Ni: 0.475 0.225 0.949
Sb: 0.175 0.325 0.750
Sb: 0.425 0.075 0.250
Sb: 0.575 0.925 0.750
Sb: 0.825 0.675 0.250

Values from the calculation:
Formation energy without anion corrections   -0.35 eV/atom
SG   Fddd (70)



[10]
Density functional theory data (GGA-PBE) for Pu2Ni4SnSb3 after structural relaxation.

Lattice parameters (Å, degrees): 4.427 4.427 10.032 90.00 90.00 90.00
Atoms (fractional coordinates):
Pu: 0.500 0.000 0.239
Pu: 0.000 0.500 0.761
Ni: 0.500 0.500 0.000
Ni: 0.000 0.000 0.000
Ni: 0.500 0.000 0.626
Ni: 0.000 0.500 0.374
Sn: 0.500 0.500 0.500
Sb: 0.000 0.000 0.500
Sb: 0.500 0.000 0.871
Sb: 0.000 0.500 0.129

Values from the calculation:
Formation energy without anion corrections   -0.42 eV/atom
SG   P-4m2 (115)



[11]
Density functional theory data (GGA-PBE) for Pu2ThNi2Sb2 after structural relaxation.

Lattice parameters (Å, degrees): 4.192 4.192 9.753 77.59 77.59 60.00
Atoms (fractional coordinates):
Pu: 0.155 0.155 0.535
Pu: 0.845 0.845 0.465
Th: 0.000 0.000 0.000
Ni: 0.568 0.568 0.296
Ni: 0.432 0.432 0.704
Sb: 0.738 0.738 0.785
Sb: 0.262 0.262 0.215

Values from the calculation:
Formation energy without anion corrections   -0.27 eV/atom
SG   R-3m (166)



[12]
Density functional theory data (GGA-PBE) for Pu2ScNi9 after structural relaxation.

Lattice parameters (Å, degrees): 4.874 4.874 8.609 73.55 73.55 60.00
Atoms (fractional coordinates):
Pu: 0.859 0.859 0.423
Pu: 0.141 0.141 0.577
Sc: 0.000 0.000 0.000
Ni: 0.667 0.667 0.999
Ni: 0.333 0.333 0.001
Ni: 0.500 0.500 0.500
Ni: 0.419 0.419 0.243
Ni: 0.919 0.419 0.243
Ni: 0.419 0.919 0.243
Ni: 0.581 0.581 0.757
Ni: 0.581 0.081 0.757
Ni: 0.081 0.581 0.757

Values from the calculation:
Energy of formation from the pure elements   -27.2 kJ per mole of atoms
SG   R-3m (166)



no.,electronic total energy (Ha/atom)
1,-0.302
2,-0.282
3,-0.277
4,-0.255
5,-0.294
6,-0.267
7,-0.258
8,-0.365
9,-0.264
10,-0.266
11,-0.303
12,-0.277